Entry 1:
# Li4Ga5Os | Alexandria via LeMat-Bulk | PBE | optimized geometry
# ΔE_f = -98 meV per atom
# Density of states at the Fermi level = 11.4 states/eV/cell
data_Li4Ga5Os
_symmetry_space_group_name_H-M 'I 4 m m'
_symmetry_Int_Tables_number 107
_symmetry_space_group_name_Hall 'I 4 -2'
_cell_length_a 9.204
_cell_length_b 9.204
_cell_length_c 4.649
_cell_angle_alpha 90.00
_cell_angle_beta 90.00
_cell_angle_gamma 90.00
loop_
_atom_site_label
_atom_site_fract_x
_atom_site_fract_y
_atom_site_fract_z
Li1 0.000 0.280 0.000
Ga1 0.000 0.000 0.857
Ga2 0.189 0.189 0.452
Os1 0.000 0.000 0.354

---

Entry 2:
# PuThCdIr | Alexandria via LeMat-Bulk | PBE | optimized geometry
# ΔE_f = -229 meV per atom
# Density of states at the Fermi level = 30.9 states/eV/cell
data_PuThCdIr
_symmetry_space_group_name_H-M 'F -4 3 m'
_symmetry_Int_Tables_number 216
_symmetry_space_group_name_Hall 'F -4 2 3'
_cell_length_a 7.278
_cell_length_b 7.278
_cell_length_c 7.278
_cell_angle_alpha 90.00
_cell_angle_beta 90.00
_cell_angle_gamma 90.00
loop_
_atom_site_label
_atom_site_fract_x
_atom_site_fract_y
_atom_site_fract_z
Pu1 0.000 0.000 0.000
Th1 0.000 0.000 0.500
Cd1 0.250 0.250 0.250
Ir1 0.250 0.250 0.750